A plane-wave DFT calculation with PBE with a Hubbard U was carried out for crystalline CrCo2SbO6 at its relaxed geometry.

## Properties
E = -64.565 eV/cell
N(E_F) = 0.00 states/eV per atom
space-group type = P1

Unit cell a=5.2114 b=5.2152 c=5.5111 alpha=61.85 beta=61.85 gamma=60.04
With the nearest neighbours (Å) after each atom.
Fractional coordinates of all 10 atoms:
Cr1 0.0000 0.0000 0.0000  6 O 2.00-2.07
Co1 0.2893 0.2902 0.1312  6 O 2.04-2.24
Co2 0.7905 0.7918 0.6288  6 O 2.04-2.23
Sb1 0.4991 0.5004 0.5017  6 O 2.00-2.05
O1 0.1141 0.3841 0.7866  1 Cr 2.01, 2 Co 2.04-2.23, 1 Sb 2.05
O2 0.2168 0.8823 0.2891  1 Sb 2.00, 2 Co 2.04-2.23, 1 Cr 2.07
O3 0.3829 0.7176 0.7866  1 Cr 2.00, 2 Co 2.04-2.24, 1 Sb 2.05
O4 0.6115 0.2166 0.2904  1 Sb 2.00, 2 Co 2.04-2.22, 1 Cr 2.07
O5 0.7165 0.1150 0.7867  1 Cr 2.00, 2 Co 2.04-2.24, 1 Sb 2.05
O6 0.8815 0.6126 0.2890  1 Sb 2.00, 2 Co 2.04-2.23, 1 Cr 2.07